(1)
The following is a DFT calculation (meta-GGA SCAN) of RbMgI3 at its PBEsol-relaxed geometry.

Output
**Space group**: Pm-3m
**Energy relative to the elements, uncorrected**: -6.51 eV per formula unit
**E_tot**: -28.489 eV per atom
**Total magnetic moment**: 0.00 μB per cell

Cell lengths 5.768, 5.768, 5.768 Å; angles 90.00, 90.00, 90.00 degrees
Element x y z (fractional)
I: 0.500 0.000 0.000
I: 0.000 0.500 0.000
Mg: 0.000 0.000 0.000
Rb: 0.500 0.500 0.500
I: 0.000 0.000 0.500


(2)
The following is a DFT calculation (meta-GGA SCAN) of CaNi2AuO at its PBEsol-relaxed geometry.

Output
**Space group**: P4/mmm
**Energy relative to the elements, uncorrected**: 2.96 eV per formula unit
**E_tot**: -22.888 eV per atom
**Total magnetic moment**: 3.18 μB per cell

Cell lengths 4.520, 4.520, 5.574 Å; angles 90.00, 90.00, 90.00 degrees
Each line ends with the local moment (μB).
Element x y z (fractional)
Ni: 0.500 0.000 0.000  1.20
Ni: 0.000 0.500 0.000  1.20
Ca: 0.000 0.000 0.500  -0.02
O: 0.500 0.500 0.500  0.64
Au: 0.000 0.000 0.000  0.00


(3)
The following is a DFT calculation (meta-GGA SCAN) of FeAgIr2 at its PBEsol-relaxed geometry.

Output
**Space group**: I4/mmm
**E_tot**: -47.631 eV per atom
**Calculated formation energy**: 113 kJ/mol of formula units
**Total magnetic moment**: 3.29 μB per cell

Cell lengths 3.844, 3.844, 4.654 Å; angles 114.39, 114.39, 90.00 degrees
Each line ends with the local moment (μB).
Element x y z (fractional)
Ir: 0.750 0.250 0.500  0.10
Fe: 0.000 0.000 0.000  3.14
Ag: 0.500 0.500 0.000  -0.01
Ir: 0.250 0.750 0.500  0.10


(4)
The following is a DFT calculation (meta-GGA SCAN) of AsC2I2 at its PBEsol-relaxed geometry.

Output
**Space group**: P4/mbm
**Energy relative to the elements, uncorrected**: 11.02 eV per formula unit
**E_tot**: -20.570 eV per atom
**Total magnetic moment**: 0.00 μB per cell

Cell lengths 3.652, 7.098, 7.098 Å; angles 90.00, 90.00, 90.00 degrees
Element x y z (fractional)
C: 0.000 0.793 0.707
As: 0.000 0.500 0.500
As: 0.000 0.000 0.000
C: 0.000 0.207 0.293
I: 0.500 0.836 0.336
I: 0.500 0.336 0.164
I: 0.500 0.664 0.836
C: 0.000 0.707 0.207
I: 0.500 0.164 0.664
C: 0.000 0.293 0.793


(5)
The following is a DFT calculation (meta-GGA SCAN) of Be2PdRuC at its PBEsol-relaxed geometry.

Output
**Space group**: P4/mmm
**E_tot**: -16.762 eV per atom
**Calculated formation energy**: 250 kJ/mol of formula units
**Total magnetic moment**: 1.40 μB per cell

Cell lengths 3.684, 3.684, 3.937 Å; angles 90.00, 90.00, 90.00 degrees
Each line ends with the local moment (μB).
Element x y z (fractional)
Be: 0.000 0.500 0.000  -0.01
C: 0.000 0.000 0.000  0.07
Ru: 0.500 0.500 0.500  1.22
Be: 0.500 0.000 0.000  -0.01
Pd: 0.000 0.000 0.500  0.11


(6)
The following is a DFT calculation (meta-GGA SCAN) of CaLa2Ru at its PBEsol-relaxed geometry.

Output
**Space group**: C2/m
**E_tot**: -32.278 eV per atom
**Calculated formation energy**: 153 kJ/mol of formula units
**Total magnetic moment**: 0.00 μB per cell

Cell lengths 3.354, 5.991, 5.991 Å; angles 113.53, 103.50, 103.50 degrees
Element x y z (fractional)
La: 0.000 0.500 0.000
Ru: 0.500 0.000 0.000
La: 0.000 0.000 0.500
Ca: 0.500 0.500 0.500